Record 1
GGA-PBE La4GeRh3, relaxed; calculated total energy = -52.535 eV per cell; ΔE_f = -0.769 eV/atom
1.0
4.179 0.000 0.000
0.000 4.361 0.000
0.000 0.000 10.851
La Rh Ge
4 3 1
direct
0.500 0.000 0.640
0.500 0.500 0.369
0.000 0.000 0.144
0.000 0.500 0.854
0.000 0.000 0.405
0.000 0.500 0.592
0.500 0.000 0.928
0.500 0.500 0.068

---

Record 2
GGA-PBE La3Ge4Rh2, relaxed; offset from the most stable computed form = 8 meV per atom; calculated total energy = -55.845 eV per cell; ΔE_f = -0.877 eV/atom
1.0
-1.943 3.795 -0.228
-0.081 -2.773 -5.503
-6.957 -3.339 3.720
Ge La Rh
4 3 2
direct
0.735 0.470 0.080
0.265 0.530 0.920
0.047 0.094 0.380
0.953 0.906 0.620
0.000 0.000 0.000
0.330 0.660 0.346
0.670 0.340 0.654
0.601 0.202 0.270
0.399 0.798 0.730

---

Record 3
GGA-PBE LaGe2Rh2, relaxed; calculated total energy = -61.926 eV per cell; ΔE_f = -0.420 eV/atom
1.0
-0.023 -3.125 7.163
4.312 -5.979 -2.595
2.444 1.479 0.653
Ge Rh La
4 4 2
direct
0.372 0.872 0.000
0.872 0.628 0.000
0.628 0.128 0.000
0.128 0.372 0.000
0.838 0.338 0.500
0.338 0.162 0.500
0.662 0.838 0.500
0.162 0.662 0.500
0.000 0.000 0.000
0.500 0.500 0.000

---

Record 4
GGA-PBE La2Ge3Rh2, relaxed; offset from the most stable computed form = 78 meV per atom; calculated total energy = -43.713 eV per cell; ΔE_f = -0.758 eV/atom
1.0
-4.059 1.387 0.296
1.433 -1.326 -5.371
-1.608 -5.555 3.989
Ge Rh La
3 2 2
direct
0.629 0.259 0.440
0.371 0.741 0.560
0.500 0.000 0.000
0.868 0.737 0.778
0.132 0.263 0.222
0.854 0.708 0.227
0.146 0.292 0.773

---

Record 5
GGA-PBE La8Ge2Rh, relaxed; calculated total energy = -60.427 eV per cell; ΔE_f = -0.402 eV/atom
1.0
-4.779 -3.748 -0.866
6.540 -4.915 -0.678
-1.291 3.192 7.453
La Ge Rh
8 2 1
direct
0.981 0.179 0.737
0.159 0.358 0.358
0.439 0.929 0.710
0.981 0.737 0.179
0.547 0.099 0.324
0.547 0.324 0.099
0.829 0.642 0.642
0.439 0.710 0.929
0.529 0.727 0.335
0.529 0.335 0.727
0.018 0.994 0.994

---

Record 6
GGA-PBE La3GeRh8, relaxed; calculated total energy = -84.740 eV per cell; ΔE_f = -0.544 eV/atom
1.0
5.218 0.000 1.548
2.380 4.644 1.548
0.068 0.041 9.342
Rh La Ge
8 3 1
direct
0.563 0.058 0.322
0.059 0.560 0.821
0.808 0.808 0.576
0.058 0.563 0.322
0.560 0.560 0.821
0.058 0.058 0.322
0.309 0.309 0.072
0.560 0.059 0.821
0.490 0.490 0.530
0.014 0.014 0.957
0.622 0.622 0.134
0.149 0.149 0.552

---

What did the third record say?
GGA-PBE LaGe2Rh2, relaxed; calculated total energy = -61.926 eV per cell; ΔE_f = -0.420 eV/atom
1.0
-0.023 -3.125 7.163
4.312 -5.979 -2.595
2.444 1.479 0.653
Ge Rh La
4 4 2
direct
0.372 0.872 0.000
0.872 0.628 0.000
0.628 0.128 0.000
0.128 0.372 0.000
0.838 0.338 0.500
0.338 0.162 0.500
0.662 0.838 0.500
0.162 0.662 0.500
0.000 0.000 0.000
0.500 0.500 0.000

---

- Which of these has the lowest calculated total energy?
  La3GeRh8